{
  "formula": "La6Ge2Se3Br",
  "functional": "PBE",
  "state": "relaxed",
  "lattice_angstrom": [[9.513, -2.184, 0.000], [9.513, 2.184, 0.000], [-1.950, 0.000, 8.551]],
  "species": ["La", "La", "La", "La", "La", "La", "Ge", "Ge", "Se", "Se", "Se", "Br"],
  "frac_coords": [[0.004, 0.004, 0.269], [0.327, 0.327, 0.905], [0.331, 0.331, 0.421], [0.669, 0.669, 0.579], [0.673, 0.673, 0.095], [0.996, 0.996, 0.731], [0.165, 0.165, 0.329], [0.835, 0.835, 0.671], [0.163, 0.163, 0.835], [0.500, 0.500, 0.500], [0.837, 0.837, 0.165], [0.500, 0.500, 0.000]],
  "raw_formation_energy_mev_per_atom": -1567.1,
  "n_ef_per_ev_cell": 5.26,
  "dft_energy_ry_per_atom": -0.427
}